Below is crystalline Ca2GeMoO6 at its relaxed geometry, with properties calculated at the PBE+U level.

Unit cell a=4.6670 b=5.3273 c=5.3273 alpha=90.00 beta=90.00 gamma=90.00
Closest atoms and distances in Å follow each position.
Atoms (fractional coordinates):
1 O 0.1771 0.5000 0.5000  1 Mo 1.91
2 O 0.7107 0.2407 0.7593  1 Ge 1.90, 1 Mo 2.04
3 O 0.2111 0.0000 0.0000  1 Ge 1.76
4 O 0.7107 0.2407 0.2407  1 Ge 1.90, 1 Mo 2.04
5 O 0.7107 0.7593 0.2407  1 Ge 1.90, 1 Mo 2.04
6 O 0.7107 0.7593 0.7593  1 Ge 1.90, 1 Mo 2.04
7 Ge 0.5891 0.0000 0.0000  5 O 1.76-1.90
8 Mo 0.5859 0.5000 0.5000  5 O 1.91-2.04
9 Ca 0.0204 0.0000 0.5000  4 O 2.38
10 Ca 0.0204 0.5000 0.0000  4 O 2.38

Properties
Uncorrected energy   -66.660 eV for the cell shown
SG   No. 99
Magnetization   2.00 Bohr magnetons per cell